## LaAsIr3 (GGA-PBE)

Data for LaAsIr3 after structural relaxation.

Cell lengths 4.6831, 4.6831, 4.6831 Å; angles 90.00, 90.00, 90.00 degrees
With the nearest neighbours (Å) after each atom.
Element x y z (fractional)
1 Ir 0.0000 0.5000 0.0000  2 As 2.34
2 As 0.0000 0.0000 0.0000  6 Ir 2.34
3 Ir 0.0000 0.0000 0.5000  2 As 2.34
4 Ir 0.5000 0.0000 0.0000  2 As 2.34
5 La 0.5000 0.5000 0.5000  12 Ir 3.31

Computed properties:
Offset from the most stable computed form: 0 meV/atom
Symmetry: No. 221
DFT formation energy: 96 meV per atom
E: -35.68 eV/cell

## CePmSmTc (GGA-PBE)

Data for CePmSmTc after structural relaxation.

Cell lengths 4.4336, 4.4336, 7.3248 Å; angles 90.02, 107.59, 120.01 degrees
With the nearest neighbours (Å) after each atom.
Element x y z (fractional)
1 Pm 0.9540 0.8418 0.7958  3 Ce 3.38, 3 Tc 3.55, 3 Sm 3.59
2 Ce 0.8355 0.2823 0.1178  3 Tc 2.57
3 Tc 0.5259 0.6276 0.1536  3 Ce 2.57
4 Sm 0.3766 0.0528 0.4294  3 Tc 3.18, 3 Ce 3.33-3.34

Computed properties:
Symmetry: No. 160
DFT formation energy: 122 meV per atom
E: -25.28 eV/cell

## YHo4Tl (GGA-PBE)

Data for YHo4Tl after structural relaxation.

Cell lengths 3.5734, 3.5734, 14.1833 Å; angles 90.00, 90.00, 90.00 degrees
With the nearest neighbours (Å) after each atom.
Element x y z (fractional)
1 Y 0.0000 0.0000 0.0000  8 Ho 3.56, 4 Y 3.57
2 Tl 0.5000 0.5000 0.5000  8 Ho 3.30, 4 Tl 3.57
3 Ho 0.5000 0.5000 0.1767  8 Ho 3.53-3.57, 4 Y 3.56
4 Ho 0.0000 0.0000 0.6497  4 Tl 3.30, 8 Ho 3.53-3.57
5 Ho 0.5000 0.5000 0.8233  8 Ho 3.53-3.57, 4 Y 3.56
6 Ho 0.0000 0.0000 0.3503  4 Tl 3.30, 8 Ho 3.53-3.57

Computed properties:
Offset from the most stable computed form: 0 meV/atom
Symmetry: No. 123
DFT formation energy: -104 meV per atom
E: -27.76 eV/cell

## Li4Pm3SnS8 (GGA-PBE)

Data for Li4Pm3SnS8 after structural relaxation.

Cell lengths 7.9848, 7.7216, 7.9841 Å; angles 121.14, 120.00, 90.00 degrees
With the nearest neighbours (Å) after each atom.
Element x y z (fractional)
1 Li 0.0000 0.0000 0.0000  6 S 2.74-2.75
2 S 0.7521 0.7563 0.5043  3 Li 2.75-2.76, 3 Pm 2.80
3 S 0.2479 0.2437 0.4957  3 Li 2.75-2.76, 3 Pm 2.80
4 Pm 0.5000 0.5000 0.5000  6 S 2.80-2.82
5 Pm 0.0000 0.5000 0.5000  6 S 2.80-2.82
6 S 0.2402 0.2455 0.9927  3 Li 2.74-2.81, 1 Sn 2.75, 2 Pm 2.82
7 Li 0.5000 0.0000 0.5000  6 S 2.74-2.76
8 S 0.2475 0.7545 0.0073  3 Li 2.74-2.81, 1 Sn 2.75, 2 Pm 2.82
9 Li 0.0000 0.0000 0.5000  6 S 2.74-2.76
10 Sn 0.0000 0.5000 0.0000  6 S 2.75
11 Pm 0.5000 0.5000 0.0000  6 S 2.80-2.82
12 Li 0.5000 0.0000 0.0000  6 S 2.81
13 S 0.2475 0.7546 0.4950  3 Li 2.74-2.81, 1 Sn 2.75, 2 Pm 2.82
14 S 0.7525 0.2455 0.9927  3 Li 2.74-2.81, 1 Sn 2.75, 2 Pm 2.82
15 S 0.7598 0.7545 0.0073  3 Li 2.74-2.81, 1 Sn 2.75, 2 Pm 2.82
16 S 0.7525 0.2454 0.5050  3 Li 2.74-2.81, 1 Sn 2.75, 2 Pm 2.82

Computed properties:
Symmetry: No. 166
E: -83.20 eV/cell
Raw formation energy: -24.3 eV/f.u.

## B2PPb (GGA-PBE)

Data for B2PPb after structural relaxation.

Cell lengths 4.3819, 4.3819, 4.3819 Å; angles 60.00, 60.00, 60.00 degrees
With the nearest neighbours (Å) after each atom.
Element x y z (fractional)
1 P 0.0000 0.0000 0.0000  8 B 2.68
2 B 0.7500 0.7500 0.7500  4 P 2.68, 4 Pb 2.68
3 B 0.2500 0.2500 0.2500  4 Pb 2.68, 4 P 2.68
4 Pb 0.5000 0.5000 0.5000  8 B 2.68

Computed properties:
Offset from the most stable computed form: 1296 meV/atom
Symmetry: No. 225
DFT formation energy: 1762 meV per atom
E: -15.42 eV/cell

## Sc6Te2Ru (GGA-PBE)

Data for Sc6Te2Ru after structural relaxation.

Cell lengths 3.8262, 7.7613, 7.7613 Å; angles 120.00, 90.00, 90.00 degrees
With the nearest neighbours (Å) after each atom.
Element x y z (fractional)
1 Sc 0.0000 0.0000 0.2392  2 Ru 2.67
2 Te 0.0000 0.6667 0.3333  9 Sc 3.02-3.07
3 Sc 0.5000 0.0000 0.6120  1 Ru 3.01, 4 Te 3.07, 4 Sc 3.25
4 Sc 0.5000 0.3880 0.3880  1 Ru 3.01, 4 Te 3.07, 4 Sc 3.25
5 Sc 0.5000 0.6120 0.0000  1 Ru 3.01, 4 Te 3.07, 4 Sc 3.25
6 Te 0.0000 0.3333 0.6667  9 Sc 3.02-3.07
7 Ru 0.5000 0.0000 0.0000  6 Sc 2.67
8 Sc 0.0000 0.2392 0.0000  2 Ru 2.67
9 Sc 0.0000 0.7608 0.7608  2 Ru 2.67

Computed properties:
Symmetry: No. 189
E: -60.10 eV/cell
Raw formation energy: -6.6 eV/f.u.

Q: E of number 1 (LaAsIr3)?
A: -35.68 eV/cell